(1)
La2CoHRu: relaxed, PBE. Values from VASP.

Quantum ESPRESSO input file:
```
&SYSTEM
  ibrav = 0, nat = 5, ntyp = 4
/
ATOMIC_SPECIES
La 138.91 La.upf
Co 58.93 Co.upf
H 1.01 H.upf
Ru 101.07 Ru.upf
ATOMIC_POSITIONS crystal
La 0.000 0.500 0.000
La 0.500 0.000 0.000
Co 0.000 0.000 0.500
H 0.000 0.000 0.000
Ru 0.500 0.500 0.500
CELL_PARAMETERS angstrom
5.103 0.000 0.000
0.000 5.103 0.000
0.000 0.000 3.502
```

## Properties
E in Ry/atom: -0.4467
Density of states at the Fermi level in states/eV per cell: 3.28
Symmetry: P4/mmm

(2)
La2CoSbH: relaxed, PBE. Values from VASP.

Quantum ESPRESSO input file:
```
&SYSTEM
  ibrav = 0, nat = 5, ntyp = 4
/
ATOMIC_SPECIES
La 138.91 La.upf
Co 58.93 Co.upf
Sb 121.76 Sb.upf
H 1.01 H.upf
ATOMIC_POSITIONS crystal
La 0.000 0.500 0.000
La 0.500 0.000 0.000
Co 0.000 0.000 0.500
Sb 0.500 0.500 0.500
H 0.000 0.000 0.000
CELL_PARAMETERS angstrom
5.184 0.000 0.000
0.000 5.184 0.000
0.000 0.000 4.021
```

## Properties
E in Ry/atom: -0.3922
Density of states at the Fermi level in states/eV per cell: 4.27
Symmetry: P4/mmm

(3)
LaScCo2H8: relaxed, PBE. Values from VASP.

Quantum ESPRESSO input file:
```
&SYSTEM
  ibrav = 0, nat = 12, ntyp = 4
/
ATOMIC_SPECIES
La 138.91 La.upf
Sc 44.96 Sc.upf
Co 58.93 Co.upf
H 1.01 H.upf
ATOMIC_POSITIONS crystal
La 0.000 0.000 0.000
Sc 0.500 0.500 0.500
Co 0.191 0.191 0.191
Co 0.809 0.809 0.809
H 0.078 0.879 0.402
H 0.121 0.598 0.922
H 0.292 0.292 0.292
H 0.402 0.078 0.879
H 0.598 0.922 0.121
H 0.708 0.708 0.708
H 0.879 0.402 0.078
H 0.922 0.121 0.598
CELL_PARAMETERS angstrom
2.313 1.335 5.645
-2.313 1.335 5.645
0.000 -2.671 5.645
```

## Properties
E in Ry/atom: -0.3424
Density of states at the Fermi level in states/eV per cell: 2.48
Symmetry: R-3

(4)
LaCo2SiH: relaxed, PBE. Values from VASP.

Quantum ESPRESSO input file:
```
&SYSTEM
  ibrav = 0, nat = 10, ntyp = 4
/
ATOMIC_SPECIES
La 138.91 La.upf
Co 58.93 Co.upf
Si 28.09 Si.upf
H 1.01 H.upf
ATOMIC_POSITIONS crystal
La 0.067 0.933 0.750
La 0.933 0.067 0.250
Co 0.333 0.667 0.558
Co 0.333 0.667 0.942
Co 0.667 0.333 0.058
Co 0.667 0.333 0.442
Si 0.215 0.785 0.250
Si 0.785 0.215 0.750
H 0.500 0.500 0.000
H 0.500 0.500 0.500
CELL_PARAMETERS angstrom
1.906 -5.363 0.000
1.906 5.363 0.000
0.000 0.000 6.649
```

## Properties
E in Ry/atom: -0.4462
Density of states at the Fermi level in states/eV per cell: 10.84
Symmetry: Cmcm

(5)
LaCo2SnH8: relaxed, PBE. Values from VASP.

Quantum ESPRESSO input file:
```
&SYSTEM
  ibrav = 0, nat = 12, ntyp = 4
/
ATOMIC_SPECIES
La 138.91 La.upf
Co 58.93 Co.upf
Sn 118.71 Sn.upf
H 1.01 H.upf
ATOMIC_POSITIONS crystal
La 0.000 0.000 0.000
Co 0.195 0.195 0.195
Co 0.805 0.805 0.805
Sn 0.500 0.500 0.500
H 0.020 0.020 0.600
H 0.020 0.600 0.020
H 0.291 0.291 0.291
H 0.400 0.980 0.980
H 0.600 0.020 0.020
H 0.709 0.709 0.709
H 0.980 0.400 0.980
H 0.980 0.980 0.400
CELL_PARAMETERS angstrom
2.393 1.382 5.631
-2.393 1.382 5.631
0.000 -2.763 5.631
```

## Properties
E in Ry/atom: -0.3094
Density of states at the Fermi level in states/eV per cell: 4.55
Symmetry: R-3m

(6)
La6Tl2CoH: relaxed, PBE. Values from VASP.

Quantum ESPRESSO input file:
```
&SYSTEM
  ibrav = 0, nat = 10, ntyp = 4
/
ATOMIC_SPECIES
La 138.91 La.upf
Tl 204.38 Tl.upf
Co 58.93 Co.upf
H 1.01 H.upf
ATOMIC_POSITIONS crystal
La 0.000 0.000 0.242
La 0.000 0.000 0.758
La 0.000 0.500 0.000
La 0.000 0.500 0.500
La 0.500 0.000 0.000
La 0.500 0.000 0.500
Tl 0.500 0.500 0.237
Tl 0.500 0.500 0.763
Co 0.000 0.000 0.500
H 0.000 0.000 0.000
CELL_PARAMETERS angstrom
5.194 0.000 0.000
0.000 5.194 0.000
0.000 0.000 10.707
```

## Properties
E in Ry/atom: -0.3487
Density of states at the Fermi level in states/eV per cell: 14.54
Symmetry: P4/mmm

(7)
La2TlCoH: relaxed, PBE. Values from VASP.

Quantum ESPRESSO input file:
```
&SYSTEM
  ibrav = 0, nat = 5, ntyp = 4
/
ATOMIC_SPECIES
La 138.91 La.upf
Tl 204.38 Tl.upf
Co 58.93 Co.upf
H 1.01 H.upf
ATOMIC_POSITIONS crystal
La 0.000 0.500 0.000
La 0.500 0.000 0.000
Tl 0.000 0.000 0.500
Co 0.500 0.500 0.500
H 0.500 0.500 0.000
CELL_PARAMETERS angstrom
5.385 0.000 0.000
0.000 5.385 0.000
0.000 0.000 3.768
```

## Properties
E in Ry/atom: -0.3469
Density of states at the Fermi level in states/eV per cell: 3.79
Symmetry: P4/mmm

(8)
La2VCoH: relaxed, PBE. Values from VASP.

Quantum ESPRESSO input file:
```
&SYSTEM
  ibrav = 0, nat = 5, ntyp = 4
/
ATOMIC_SPECIES
La 138.91 La.upf
V 50.94 V.upf
Co 58.93 Co.upf
H 1.01 H.upf
ATOMIC_POSITIONS crystal
La 0.000 0.500 0.000
La 0.500 0.000 0.000
V 0.000 0.000 0.500
Co 0.500 0.500 0.000
H 0.500 0.500 0.500
CELL_PARAMETERS angstrom
5.426 0.000 0.000
0.000 5.426 0.000
0.000 0.000 3.470
```

## Properties
E in Ry/atom: -0.4021
Density of states at the Fermi level in states/eV per cell: 4.89
Symmetry: P4/mmm

(9)
LaV2CoH: relaxed, PBE. Values from VASP.

Quantum ESPRESSO input file:
```
&SYSTEM
  ibrav = 0, nat = 5, ntyp = 4
/
ATOMIC_SPECIES
La 138.91 La.upf
V 50.94 V.upf
Co 58.93 Co.upf
H 1.01 H.upf
ATOMIC_POSITIONS crystal
La 0.000 0.000 0.000
V 0.000 0.500 0.000
V 0.500 0.000 0.000
Co 0.000 0.000 0.500
H 0.500 0.500 0.500
CELL_PARAMETERS angstrom
4.666 0.000 0.000
0.000 4.666 0.000
0.000 0.000 4.397
```

## Properties
E in Ry/atom: -0.3218
Density of states at the Fermi level in states/eV per cell: 5.62
Symmetry: P4/mmm

(10)
LaCoH2W: relaxed, PBE. Values from VASP.

Quantum ESPRESSO input file:
```
&SYSTEM
  ibrav = 0, nat = 5, ntyp = 4
/
ATOMIC_SPECIES
La 138.91 La.upf
Co 58.93 Co.upf
H 1.01 H.upf
W 183.84 W.upf
ATOMIC_POSITIONS crystal
La 0.000 0.000 0.000
Co 0.500 0.500 0.000
H 0.000 0.500 0.500
H 0.500 0.000 0.500
W 0.000 0.000 0.500
CELL_PARAMETERS angstrom
3.689 0.000 0.000
0.000 3.689 0.000
0.000 0.000 5.659
```

## Properties
E in Ry/atom: -0.3888
Density of states at the Fermi level in states/eV per cell: 4.36
Symmetry: P4/mmm

(11)
LaCo2HW: relaxed, PBE. Values from VASP.

Quantum ESPRESSO input file:
```
&SYSTEM
  ibrav = 0, nat = 5, ntyp = 4
/
ATOMIC_SPECIES
La 138.91 La.upf
Co 58.93 Co.upf
H 1.01 H.upf
W 183.84 W.upf
ATOMIC_POSITIONS crystal
La 0.000 0.000 0.000
Co 0.000 0.500 0.500
Co 0.500 0.000 0.500
H 0.500 0.500 0.000
W 0.500 0.500 0.500
CELL_PARAMETERS angstrom
4.636 0.000 0.000
0.000 4.636 0.000
0.000 0.000 3.812
```

## Properties
E in Ry/atom: -0.4875
Density of states at the Fermi level in states/eV per cell: 4.64
Symmetry: P4/mmm

(12)
LaZnCo2H8: relaxed, PBE. Values from VASP.

Quantum ESPRESSO input file:
```
&SYSTEM
  ibrav = 0, nat = 12, ntyp = 4
/
ATOMIC_SPECIES
La 138.91 La.upf
Zn 65.41 Zn.upf
Co 58.93 Co.upf
H 1.01 H.upf
ATOMIC_POSITIONS crystal
La 0.000 0.000 0.000
Zn 0.500 0.500 0.500
Co 0.195 0.195 0.195
Co 0.805 0.805 0.805
H 0.098 0.865 0.402
H 0.135 0.598 0.902
H 0.293 0.293 0.293
H 0.402 0.098 0.865
H 0.598 0.902 0.135
H 0.707 0.707 0.707
H 0.865 0.402 0.098
H 0.902 0.135 0.598
CELL_PARAMETERS angstrom
2.248 1.298 5.593
-2.248 1.298 5.593
0.000 -2.595 5.593
```

## Properties
E in Ry/atom: -0.3017
Density of states at the Fermi level in states/eV per cell: 3.61
Symmetry: R-3

(13)
LaZnCoH6: relaxed, PBE. Values from VASP.

Quantum ESPRESSO input file:
```
&SYSTEM
  ibrav = 0, nat = 9, ntyp = 4
/
ATOMIC_SPECIES
La 138.91 La.upf
Zn 65.41 Zn.upf
Co 58.93 Co.upf
H 1.01 H.upf
ATOMIC_POSITIONS crystal
La 0.000 0.000 0.000
Zn 0.333 0.667 0.500
Co 0.667 0.333 0.500
H 0.517 0.034 0.252
H 0.517 0.034 0.748
H 0.517 0.483 0.252
H 0.517 0.483 0.748
H 0.966 0.483 0.252
H 0.966 0.483 0.748
CELL_PARAMETERS angstrom
4.465 0.000 0.000
-2.233 3.867 0.000
0.000 0.000 4.534
```

## Properties
E in Ry/atom: -0.2944
Density of states at the Fermi level in states/eV per cell: 2.65
Symmetry: P-6m2

(14)
LiCoH3: relaxed, PBE. Values from VASP.

Quantum ESPRESSO input file:
```
&SYSTEM
  ibrav = 0, nat = 10, ntyp = 3
/
ATOMIC_SPECIES
Li 6.94 Li.upf
Co 58.93 Co.upf
H 1.01 H.upf
ATOMIC_POSITIONS crystal
Li 0.000 0.000 0.000
Li 0.750 0.250 0.500
Co 0.132 0.632 0.500
Co 0.368 0.868 0.500
H 0.315 0.315 0.000
H 0.335 0.098 0.237
H 0.685 0.685 0.000
H 0.861 0.098 0.763
H 0.902 0.139 0.237
H 0.902 0.665 0.763
CELL_PARAMETERS angstrom
-1.371 1.371 9.247
1.371 -1.371 9.247
1.371 1.371 -9.247
```

## Properties
E in Ry/atom: -0.2743
Density of states at the Fermi level in states/eV per cell: 2.62
Symmetry: I-4m2

(15)
LiCoH2: relaxed, PBE. Values from VASP.

Quantum ESPRESSO input file:
```
&SYSTEM
  ibrav = 0, nat = 4, ntyp = 3
/
ATOMIC_SPECIES
Li 6.94 Li.upf
Co 58.93 Co.upf
H 1.01 H.upf
ATOMIC_POSITIONS crystal
Li 0.000 0.000 0.000
Co 0.000 0.000 0.500
H 0.500 0.500 0.321
H 0.500 0.500 0.679
CELL_PARAMETERS angstrom
2.455 0.000 0.000
0.000 2.455 0.000
0.000 0.000 4.708
```

## Properties
E in Ry/atom: -0.2732
Density of states at the Fermi level in states/eV per cell: 2.46
Symmetry: P4/mmm
E above lowest polymorph in kJ per mole of atoms: 37.1

(16)
LiCoH3: relaxed, PBE. Values from VASP.

Quantum ESPRESSO input file:
```
&SYSTEM
  ibrav = 0, nat = 10, ntyp = 3
/
ATOMIC_SPECIES
Li 6.94 Li.upf
Co 58.93 Co.upf
H 1.01 H.upf
ATOMIC_POSITIONS crystal
Li 0.000 0.000 0.000
Li 0.500 0.000 0.500
Co 0.294 0.544 0.750
Co 0.706 0.456 0.250
H 0.000 0.000 0.500
H 0.000 0.500 0.000
H 0.381 0.000 0.881
H 0.381 0.500 0.381
H 0.619 0.000 0.119
H 0.619 0.500 0.619
CELL_PARAMETERS angstrom
-2.136 3.734 2.111
2.136 -3.734 2.111
2.136 3.734 -2.111
```

## Properties
E in Ry/atom: -0.2876
Density of states at the Fermi level in states/eV per cell: 3.70
Symmetry: Imma

(17)
LiCoH3: relaxed, PBE. Values from VASP.

Quantum ESPRESSO input file:
```
&SYSTEM
  ibrav = 0, nat = 10, ntyp = 3
/
ATOMIC_SPECIES
Li 6.94 Li.upf
Co 58.93 Co.upf
H 1.01 H.upf
ATOMIC_POSITIONS crystal
Li 0.109 0.109 0.109
Li 0.891 0.891 0.891
Co 0.330 0.330 0.330
Co 0.670 0.670 0.670
H 0.082 0.643 0.517
H 0.357 0.483 0.918
H 0.483 0.918 0.357
H 0.517 0.082 0.643
H 0.643 0.517 0.082
H 0.918 0.357 0.483
CELL_PARAMETERS angstrom
2.187 1.262 4.179
-2.187 1.262 4.179
0.000 -2.525 4.179
```

## Properties
E in Ry/atom: -0.2943
Density of states at the Fermi level in states/eV per cell: 1.26
Symmetry: R-3

(18)
Li4CoH5: relaxed, PBE. Values from VASP.

Quantum ESPRESSO input file:
```
&SYSTEM
  ibrav = 0, nat = 10, ntyp = 3
/
ATOMIC_SPECIES
Li 6.94 Li.upf
Co 58.93 Co.upf
H 1.01 H.upf
ATOMIC_POSITIONS crystal
Li 0.110 0.289 0.400
Li 0.289 0.890 0.179
Li 0.711 0.110 0.821
Li 0.890 0.711 0.600
Co 0.500 0.500 0.000
H 0.242 0.570 0.813
H 0.430 0.242 0.672
H 0.570 0.758 0.328
H 0.758 0.430 0.187
H 0.999 0.999 0.000
CELL_PARAMETERS angstrom
-3.088 3.088 1.895
3.088 -3.088 1.895
3.088 3.088 -1.895
```

## Properties
E in Ry/atom: -0.2558
Density of states at the Fermi level in states/eV per cell: 2.24
Symmetry: I4

(19)
LiCoH2: relaxed, PBE. Values from VASP.

Quantum ESPRESSO input file:
```
&SYSTEM
  ibrav = 0, nat = 8, ntyp = 3
/
ATOMIC_SPECIES
Li 6.94 Li.upf
Co 58.93 Co.upf
H 1.01 H.upf
ATOMIC_POSITIONS crystal
Li 0.000 0.000 0.000
Li 0.750 0.250 0.500
Co 0.250 0.750 0.500
Co 0.500 0.500 0.000
H 0.167 0.625 0.042
H 0.375 0.417 0.542
H 0.583 0.125 0.958
H 0.875 0.833 0.458
CELL_PARAMETERS angstrom
-2.261 2.261 2.842
2.261 -2.261 2.842
2.261 2.261 -2.842
```

## Properties
E in Ry/atom: -0.2950
Density of states at the Fermi level in states/eV per cell: 6.15
Symmetry: I-42d
E above lowest polymorph in kJ per mole of atoms: 8.5

(20)
LiCoH3: relaxed, PBE. Values from VASP.

Quantum ESPRESSO input file:
```
&SYSTEM
  ibrav = 0, nat = 10, ntyp = 3
/
ATOMIC_SPECIES
Li 6.94 Li.upf
Co 58.93 Co.upf
H 1.01 H.upf
ATOMIC_POSITIONS crystal
Li 0.000 0.000 0.000
Li 0.224 0.224 0.670
Co 0.434 0.434 0.301
Co 0.617 0.617 0.850
H 0.028 0.525 0.075
H 0.225 0.682 0.588
H 0.525 0.028 0.075
H 0.525 0.525 0.076
H 0.681 0.681 0.587
H 0.682 0.225 0.588
CELL_PARAMETERS angstrom
3.820 -2.204 0.000
3.820 2.204 0.000
-2.543 0.000 4.254
```

## Properties
E in Ry/atom: -0.2891
Density of states at the Fermi level in states/eV per cell: 3.02
Symmetry: Cm

(21)
LiCoH3: relaxed, PBE. Values from VASP.

Quantum ESPRESSO input file:
```
&SYSTEM
  ibrav = 0, nat = 20, ntyp = 3
/
ATOMIC_SPECIES
Li 6.94 Li.upf
Co 58.93 Co.upf
H 1.01 H.upf
ATOMIC_POSITIONS crystal
Li 0.108 0.117 0.233
Li 0.108 0.383 0.733
Li 0.892 0.617 0.267
Li 0.892 0.883 0.767
Co 0.411 0.736 0.517
Co 0.411 0.764 0.017
Co 0.589 0.236 0.983
Co 0.589 0.264 0.483
H 0.128 0.645 0.007
H 0.128 0.855 0.507
H 0.281 0.074 0.949
H 0.281 0.426 0.449
H 0.481 0.537 0.814
H 0.481 0.963 0.314
H 0.519 0.037 0.686
H 0.519 0.463 0.186
H 0.719 0.574 0.551
H 0.719 0.926 0.051
H 0.872 0.145 0.493
H 0.872 0.355 0.993
CELL_PARAMETERS angstrom
5.019 0.000 0.000
0.000 4.794 0.000
-1.057 0.000 5.372
```

## Properties
E in Ry/atom: -0.2893
Density of states at the Fermi level in states/eV per cell: 4.71
Symmetry: P2_1/c

(22)
LiCoH3: relaxed, PBE. Values from VASP.

Quantum ESPRESSO input file:
```
&SYSTEM
  ibrav = 0, nat = 5, ntyp = 3
/
ATOMIC_SPECIES
Li 6.94 Li.upf
Co 58.93 Co.upf
H 1.01 H.upf
ATOMIC_POSITIONS crystal
Li 0.000 0.000 0.000
Co 0.500 0.346 0.346
H 0.000 0.135 0.565
H 0.000 0.565 0.135
H 0.500 0.154 0.154
CELL_PARAMETERS angstrom
2.522 0.000 0.000
0.000 2.402 3.843
0.000 -2.402 3.843
```

## Properties
E in Ry/atom: -0.2778
Density of states at the Fermi level in states/eV per cell: 1.55
Symmetry: Amm2

(23)
LiCoH3: relaxed, PBE. Values from VASP.

Quantum ESPRESSO input file:
```
&SYSTEM
  ibrav = 0, nat = 20, ntyp = 3
/
ATOMIC_SPECIES
Li 6.94 Li.upf
Co 58.93 Co.upf
H 1.01 H.upf
ATOMIC_POSITIONS crystal
Li 0.000 0.000 0.000
Li 0.000 0.000 0.500
Li 0.000 0.500 0.000
Li 0.500 0.000 0.000
Co 0.000 0.500 0.500
Co 0.500 0.000 0.500
Co 0.500 0.500 0.000
Co 0.500 0.500 0.500
H 0.161 0.161 0.589
H 0.161 0.589 0.161
H 0.161 0.589 0.589
H 0.411 0.411 0.839
H 0.411 0.839 0.411
H 0.411 0.839 0.839
H 0.589 0.161 0.161
H 0.589 0.161 0.589
H 0.589 0.589 0.161
H 0.839 0.411 0.411
H 0.839 0.411 0.839
H 0.839 0.839 0.411
CELL_PARAMETERS angstrom
0.000 4.088 4.088
4.088 0.000 4.088
4.088 4.088 0.000
```

## Properties
E in Ry/atom: -0.2902
Density of states at the Fermi level in states/eV per cell: 10.47
Symmetry: Fd-3m